# 1
Re2TcMo: optimized geometry, PBE-GGA.

mass density = 15.49 Mg/m³
formation energy = 0.12 eV per atom
excess energy over the best structure of this formula in the dataset = 11 meV per atom

Structure (CIF):
```
data_Re2TcMo
_chemical_formula_sum 'Re2 Tc1 Mo1'
_cell_length_a 2.763
_cell_length_b 2.763
_cell_length_c 7.951
_cell_angle_alpha 90.00
_cell_angle_beta 90.00
_cell_angle_gamma 90.00
_space_group_name_H-M_alt 'P 4/m m m'
_space_group_IT_number 123
_space_group_name_Hall '-P 4 2'
loop_
_atom_site_label
_atom_site_type_symbol
_atom_site_fract_x
_atom_site_fract_y
_atom_site_fract_z
Re1 Re 0.000 0.000 0.241
Tc1 Tc 0.500 0.500 0.000
Mo1 Mo 0.500 0.500 0.500
```


# 2
Re2TcMo: optimized geometry, PBE-GGA.

mass density = 15.49 Mg/m³
formation energy = 0.18 eV per atom
excess energy over the best structure of this formula in the dataset = 71 meV per atom

Structure (CIF):
```
data_Re2TcMo
_chemical_formula_sum 'Re8 Tc4 Mo4'
_cell_length_a 6.239
_cell_length_b 6.239
_cell_length_c 6.239
_cell_angle_alpha 90.00
_cell_angle_beta 90.00
_cell_angle_gamma 90.00
_space_group_name_H-M_alt 'F -4 3 m'
_space_group_IT_number 216
_space_group_name_Hall 'F -4 2 3'
loop_
_atom_site_label
_atom_site_type_symbol
_atom_site_fract_x
_atom_site_fract_y
_atom_site_fract_z
Re1 Re 0.000 0.000 0.000
Re2 Re 0.250 0.250 0.250
Tc1 Tc 0.250 0.250 0.750
Mo1 Mo 0.000 0.000 0.500
```